1.
VASP calculation (PBE) on a geometry-optimized Ac6Sb3PSe2 structure.

Geometry as extended XYZ:
```
12
Lattice="8.046 -0.002 0.002 -4.023 6.969 0.002 -1.341 -2.321 7.526" Properties=species:S:1:pos:R:3 pbc="T T T"
Ac 3.985 2.391 5.743
Ac 2.723 4.714 1.808
Ac -1.302 2.255 1.787
Ac 0.080 4.647 5.743
Ac -0.039 -0.068 5.721
Ac 2.604 -0.001 1.787
Sb -2.639 4.622 3.765
Sb 5.323 0.024 3.765
Sb 1.342 2.323 3.765
P 0.000 0.000 0.000
Se 0.010 4.640 0.002
Se 4.014 2.327 0.002
```

Calculated values
For the calculated total energy, the calculation gives -5.615 eV per atom. The space-group type is No. 12.



2.
VASP calculation (PBE) on a geometry-optimized Ac6Sb2P3Se structure.

Geometry as extended XYZ:
```
12
Lattice="4.554 0.000 0.000 0.000 9.172 0.279 -2.277 -2.699 9.611" Properties=species:S:1:pos:R:3 pbc="T T T"
Ac 0.000 6.742 6.610
Ac 2.277 4.576 3.283
Ac 2.277 -0.269 3.280
Ac 2.277 -0.305 9.591
Ac 0.000 6.779 0.300
Ac 0.000 1.897 6.607
Sb 2.277 4.333 6.620
Sb 0.000 2.140 3.270
P 2.277 4.586 0.140
P 2.277 -0.290 6.469
P 0.000 6.763 3.422
Se 2.277 0.000 0.000
```

Calculated values
For the calculated total energy, the calculation gives -5.853 eV per atom. The space-group type is No. 12.



3.
VASP calculation (PBE) on a geometry-optimized Ac4SbTe2P structure.

Geometry as extended XYZ:
```
8
Lattice="-3.441 3.101 0.347 -3.100 -2.658 -6.986 -3.249 -4.297 6.169" Properties=species:S:1:pos:R:3 pbc="T T T"
Ac -3.151 -0.013 -0.045
Ac -6.640 -3.842 -0.425
Ac -3.247 -3.945 3.053
Ac -3.103 -3.010 -3.871
Sb -3.271 0.221 -3.320
Te -3.345 -0.598 3.258
Te -3.175 -3.478 -0.409
P 0.000 0.000 0.000
```

Calculated values
For the calculated total energy, the calculation gives -5.496 eV per atom. The space-group type is No. 10.



4.
VASP calculation (PBE) on a geometry-optimized Ac8Sb4Te3P structure.

Geometry as extended XYZ:
```
16
Lattice="9.492 0.000 0.000 0.000 9.446 -0.038 -4.746 -4.743 6.715" Properties=species:S:1:pos:R:3 pbc="T T T"
Ac 2.269 7.031 0.008
Ac 0.000 4.764 3.219
Ac 0.000 -0.064 3.309
Ac 7.223 7.031 0.008
Ac -2.477 -2.328 6.669
Ac 4.746 4.767 3.368
Ac 4.746 -0.061 3.459
Ac 2.477 -2.328 6.669
Sb 4.746 0.000 0.000
Sb 2.373 -2.372 3.357
Sb 0.000 0.000 0.000
Sb -2.373 -2.372 3.357
Te 4.746 4.723 -0.019
Te 2.373 2.351 3.339
Te -2.373 2.351 3.339
P 0.000 4.723 -0.019
```

Calculated values
For the calculated total energy, the calculation gives -5.394 eV per atom. The space-group type is No. 166.



5.
VASP calculation (PBE) on a geometry-optimized Ac4Sb2TeP structure.

Geometry as extended XYZ:
```
8
Lattice="-4.485 0.682 -1.191 -2.201 -6.353 4.648 -0.154 6.765 4.453" Properties=species:S:1:pos:R:3 pbc="T T T"
Ac -2.860 0.339 1.728
Ac -3.980 0.755 6.182
Ac -0.703 3.460 4.629
Ac -1.651 -3.048 4.472
Sb -2.320 3.724 1.631
Sb -1.177 0.206 4.551
Te 0.000 0.000 0.000
P -3.343 -2.836 1.728
```

Calculated values
For the calculated total energy, the calculation gives -5.515 eV per atom. The space-group type is No. 10.



6.
VASP calculation (PBE) on a geometry-optimized Ac8SbTe4P3 structure.

Geometry as extended XYZ:
```
16
Lattice="-9.020 0.578 1.599 -0.787 -9.284 -1.084 5.970 3.316 6.134" Properties=species:S:1:pos:R:3 pbc="T T T"
Ac 3.020 -3.338 5.596
Ac 0.154 -4.928 2.652
Ac 0.540 -0.753 3.317
Ac -1.310 -3.061 6.363
Ac -2.527 -2.330 0.285
Ac -4.377 -4.638 3.332
Ac -3.991 -0.462 3.997
Ac -6.857 -2.053 1.053
Sb -0.393 -4.642 -0.542
Te -4.510 0.289 0.800
Te -1.525 1.947 3.866
Te 0.000 0.000 0.000
Te 2.985 1.658 3.067
P -4.904 -4.353 0.257
P -1.919 -2.695 3.324
P 2.592 -2.984 2.525
```

Calculated values
For the calculated total energy, the calculation gives -5.622 eV per atom. The space-group type is No. 166.



7.
VASP calculation (PBE) on a geometry-optimized Ac8Sb3Te4P structure.

Geometry as extended XYZ:
```
16
Lattice="9.442 0.000 0.000 0.000 9.482 0.021 -4.721 -4.716 6.680" Properties=species:S:1:pos:R:3 pbc="T T T"
Ac -2.462 2.241 6.658
Ac 0.000 4.701 3.176
Ac 0.000 0.068 3.384
Ac 2.462 2.241 6.658
Ac 2.259 2.525 0.042
Ac 4.721 4.698 3.317
Ac 4.721 0.066 3.524
Ac 7.183 2.525 0.042
Sb 4.721 4.741 0.011
Sb 2.360 2.383 3.350
Sb -2.360 2.383 3.350
Te 4.721 0.000 0.000
Te 2.360 -2.358 3.340
Te 0.000 0.000 0.000
Te -2.360 -2.358 3.340
P 0.000 4.741 0.011
```

Calculated values
For the calculated total energy, the calculation gives -5.380 eV per atom. The space-group type is No. 166.



8.
VASP calculation (PBE) on a geometry-optimized AcScP2 structure.

Geometry as extended XYZ:
```
4
Lattice="3.577 0.000 0.000 0.000 5.051 0.000 0.000 0.000 5.051" Properties=species:S:1:pos:R:3 pbc="T T T"
Sc 1.788 2.525 2.525
P 0.000 0.000 2.525
P 0.000 2.525 0.000
Ac 1.788 0.000 0.000
```

Calculated values
The energy of formation is -0.819 eV per atom. The space-group type is No. 123.



Number 1: total magnetization 0.000 Bohr magnetons per cell. Number 2: total magnetization 0.000 Bohr magnetons per cell. Number 3: total magnetization 0.000 Bohr magnetons per cell. Number 4: total magnetization 0.000 Bohr magnetons per cell. Number 5: total magnetization 0.000 Bohr magnetons per cell. Number 6: total magnetization 0.000 Bohr magnetons per cell. Number 7: total magnetization 0.000 Bohr magnetons per cell. Number 8: total magnetization 0.000 Bohr magnetons per cell.